Computed, not measured: Cs4Ac3CdO8 after structural relaxation at the PBE-GGA level of DFT.

Results
Formation energy (no corrections): -2.05 eV per atom
Theoretical density: 6.75 g/cm3

a = 7.758 Å, b = 7.758 Å, c = 8.183 Å
α = 117.02°, β = 117.02°, γ = 58.26°
Sites, in units of the cell vectors:
Cs  0.000  0.000  0.000
Cs  0.000  0.500  0.000
Cs  0.500  0.000  0.000
Cs  0.500  0.500  0.000
Ac  0.000  0.000  0.500
Ac  0.000  0.500  0.500
Ac  0.500  0.000  0.500
Cd  0.500  0.500  0.500
O  0.222  0.222  0.676
O  0.232  0.716  0.671
O  0.252  0.252  0.304
O  0.284  0.768  0.329
O  0.716  0.232  0.671
O  0.748  0.748  0.696
O  0.768  0.284  0.329
O  0.778  0.778  0.324


Computed, not measured: BaMoW2 after structural relaxation at the PBE-GGA level of DFT.

Results
Polymorph energy (0 for the lowest one): 654 meV/atom
Theoretical density: 12.90 g/cm3
Formation energy: 1501 meV/atom

a = 3.218 Å, b = 4.706 Å, c = 5.108 Å
α = 90.00°, β = 90.00°, γ = 90.00°
Sites, in units of the cell vectors:
Ba  0.000  0.000  0.000
Mo  0.500  0.500  0.000
W  0.000  0.500  0.500
W  0.500  0.000  0.500


Computed, not measured: UTePd after structural relaxation at the PBE-GGA level of DFT.

Results
Formation energy (no corrections): -0.22 eV per atom
Polymorph energy (0 for the lowest one): 153 meV/atom
Theoretical density: 9.92 g/cm3

a = 3.808 Å, b = 5.088 Å, c = 4.083 Å
α = 90.00°, β = 92.86°, γ = 90.00°
Sites, in units of the cell vectors:
U  0.000  0.000  0.000
Te  0.500  0.482  0.000
Pd  0.500  0.842  0.500